{
  "formula": "Nd2YHoTh",
  "functional": "PBE",
  "state": "relaxed",
  "lattice_angstrom": [[6.4028, 0.0000, 0.0000], [0.0000, 8.3799, 1.4309], [0.0000, -1.1762, 6.3036]],
  "species": ["Nd", "Nd", "Nd", "Nd", "Y", "Y", "Ho", "Ho", "Th", "Th"],
  "frac_coords": [[0.7089, 0.3099, 0.7452], [0.7089, 0.6901, 0.7548], [0.2911, 0.6901, 0.2548], [0.2911, 0.3099, 0.2452], [0.0000, 0.0000, 0.0000], [0.0000, 0.0000, 0.5000], [0.1868, 0.5000, 0.7500], [0.8132, 0.5000, 0.2500], [0.4461, 0.0000, 0.7500], [0.5539, 0.0000, 0.2500]],
  "energy_ev_per_atom": -5.29,
  "dos_at_fermi_per_ev_cell": 14.09,
  "vol_a3_per_atom": 34.9,
  "sg": "P2/c, No. 13",
  "formation_enthalpy_0k_ev_per_atom": 0.310
}